No. 1
VASP calculation (PBE-GGA) on a geometry-optimized AsIrRh2 structure.

total DFT energy (no corrections) = -6.840 eV/atom

Cell lengths 2.780, 2.780, 9.009 Å; angles 90.00, 90.00, 120.34 degrees
Fractional coordinates of all 4 atoms:
As 0.500 0.500 0.250
Ir 0.500 0.500 0.750
Rh 0.000 0.000 0.007
Rh 0.000 0.000 0.493

***

No. 2
VASP calculation (PBE-GGA) on a geometry-optimized NaSrAs2Pt structure.

total DFT energy (no corrections) = -4.312 eV/atom

Cell lengths 6.652, 5.724, 6.111 Å; angles 90.00, 90.00, 90.00 degrees
Fractional coordinates of all 10 atoms:
Na 0.609 0.750 0.000
Na 0.391 0.250 0.000
Sr 0.196 0.250 0.500
Sr 0.804 0.750 0.500
As 0.768 0.250 0.752
As 0.768 0.250 0.248
As 0.232 0.750 0.752
As 0.232 0.750 0.248
Pt 0.000 0.000 0.000
Pt 0.000 0.500 0.000

***

No. 3
VASP calculation (PBE-GGA) on a geometry-optimized Pu2CdSn9 structure.

total DFT energy (no corrections) = -5.582 eV/atom

Cell lengths 5.882, 7.444, 10.135 Å; angles 60.51, 92.29, 121.10 degrees
Fractional coordinates of all 12 atoms:
Pu 0.009 0.012 0.329
Pu 0.991 0.988 0.671
Cd 0.000 0.000 0.000
Sn 0.500 0.500 0.000
Sn 0.505 0.507 0.335
Sn 0.495 0.493 0.665
Sn 0.492 0.997 0.175
Sn 0.500 0.000 0.500
Sn 0.508 0.003 0.825
Sn 0.027 0.534 0.153
Sn 0.000 0.500 0.500
Sn 0.973 0.466 0.847

***

No. 4
VASP calculation (PBE-GGA) on a geometry-optimized ThMgCdNi structure.

total DFT energy (no corrections) = -4.036 eV/atom

Cell lengths 4.982, 4.982, 4.982 Å; angles 60.00, 60.00, 60.00 degrees
Fractional coordinates of all 4 atoms:
Ni 0.250 0.250 0.250
Mg 0.000 0.000 0.000
Th 0.500 0.500 0.500
Cd 0.750 0.750 0.750

***

No. 5
VASP calculation (PBE-GGA) on a geometry-optimized Tb12Sm7Mg structure.

polymorph energy (0 for the lowest one) = 621 meV/atom

Cell lengths 10.443, 10.443, 10.443 Å; angles 109.47, 109.47, 109.47 degrees
Fractional coordinates of all 20 atoms:
Tb 0.380 0.642 0.738
Tb 0.904 0.642 0.262
Tb 0.620 0.358 0.262
Tb 0.096 0.358 0.738
Tb 0.738 0.096 0.358
Tb 0.738 0.380 0.642
Tb 0.262 0.904 0.642
Tb 0.262 0.620 0.358
Tb 0.642 0.738 0.380
Tb 0.358 0.262 0.620
Tb 0.642 0.262 0.904
Tb 0.358 0.738 0.096
Sm 0.500 0.500 0.000
Sm 0.000 0.500 0.500
Sm 0.500 0.000 0.500
Sm 0.500 0.500 0.500
Sm 0.000 0.000 0.500
Sm 0.500 0.000 0.000
Sm 0.000 0.500 0.000
Mg 0.000 0.000 0.000

***

No. 6
VASP calculation (PBE-GGA) on a geometry-optimized LiPa2Sn8 structure.

total DFT energy (no corrections) = -5.060 eV/atom

Cell lengths 4.627, 4.627, 12.716 Å; angles 90.00, 90.00, 90.00 degrees
Fractional coordinates of all 11 atoms:
Li 0.000 0.000 0.000
Pa 0.000 0.000 0.318
Pa 0.000 0.000 0.682
Sn 0.000 0.500 0.500
Sn 0.500 0.000 0.500
Sn 0.500 0.500 0.316
Sn 0.500 0.500 0.684
Sn 0.000 0.500 0.129
Sn 0.500 0.000 0.129
Sn 0.000 0.500 0.871
Sn 0.500 0.000 0.871

***

No. 7
VASP calculation (PBE-GGA) on a geometry-optimized CsSeS4 structure.

formation energy (no corrections) = -0.18 eV per atom

Cell lengths 3.987, 9.876, 11.641 Å; angles 64.90, 84.41, 76.73 degrees
Fractional coordinates of all 12 atoms:
Cs 0.750 0.377 0.247
Cs 0.250 0.623 0.753
Se 0.750 0.781 0.437
Se 0.250 0.219 0.563
S 0.413 0.601 0.426
S 0.112 0.709 0.040
S 0.913 0.027 0.574
S 0.612 0.749 0.960
S 0.587 0.399 0.574
S 0.087 0.973 0.426
S 0.888 0.291 0.960
S 0.388 0.251 0.040

***

No. 8
VASP calculation (PBE-GGA) on a geometry-optimized ZrAl2Co2 structure.

polymorph energy (0 for the lowest one) = 52 meV/atom

Cell lengths 3.840, 3.840, 5.755 Å; angles 70.51, 70.51, 90.00 degrees
Fractional coordinates of all 5 atoms:
Co 0.394 0.394 0.212
Co 0.606 0.606 0.788
Al 0.750 0.250 0.500
Al 0.250 0.750 0.500
Zr 0.000 0.000 0.000

***

No. 9
VASP calculation (PBE-GGA) on a geometry-optimized Tb2Tm6Tl structure.

total DFT energy (no corrections) = -4.272 eV/atom

Cell lengths 3.487, 8.527, 9.716 Å; angles 78.58, 79.66, 78.20 degrees
Fractional coordinates of all 9 atoms:
Tb 0.334 0.016 0.316
Tb 0.666 0.984 0.684
Tm 0.774 0.344 0.108
Tm 0.226 0.656 0.892
Tm 0.388 0.671 0.553
Tm 0.052 0.647 0.248
Tm 0.948 0.353 0.752
Tm 0.612 0.329 0.447
Tl 0.000 0.000 0.000

***

No. 10
VASP calculation (PBE-GGA) on a geometry-optimized SrCd2Mo2 structure.

polymorph energy (0 for the lowest one) = 0 meV/atom

Cell lengths 8.539, 8.539, 3.024 Å; angles 90.00, 90.00, 90.00 degrees
Fractional coordinates of all 10 atoms:
Sr 0.000 0.000 0.000
Sr 0.500 0.500 0.000
Mo 0.405 0.905 0.000
Mo 0.905 0.595 0.000
Mo 0.595 0.095 0.000
Mo 0.095 0.405 0.000
Cd 0.191 0.691 0.500
Cd 0.691 0.809 0.500
Cd 0.809 0.309 0.500
Cd 0.309 0.191 0.500

***

No. 11
VASP calculation (PBE-GGA) on a geometry-optimized CaAs2Pb structure.

total DFT energy (no corrections) = -4.107 eV/atom

Cell lengths 4.961, 6.919, 6.058 Å; angles 30.62, 90.00, 90.00 degrees
Fractional coordinates of all 4 atoms:
Pb 0.000 0.000 0.500
As 0.000 0.000 0.000
As 0.500 0.500 0.000
Ca 0.500 0.500 0.500

***

No. 12
VASP calculation (PBE-GGA) on a geometry-optimized Li8HoO6 structure.

formation energy (no corrections) = -2.01 eV per atom

Cell lengths 5.618, 5.618, 6.264 Å; angles 63.35, 63.35, 60.00 degrees
Fractional coordinates of all 15 atoms:
Li 0.509 0.228 0.368
Li 0.772 0.104 0.632
Li 0.104 0.491 0.632
Li 0.650 0.650 0.050
Li 0.350 0.350 0.950
Li 0.896 0.509 0.368
Li 0.228 0.896 0.368
Li 0.491 0.772 0.632
Ho 0.000 0.000 0.000
O 0.398 0.099 0.745
O 0.901 0.242 0.255
O 0.242 0.602 0.255
O 0.758 0.398 0.745
O 0.099 0.758 0.745
O 0.602 0.901 0.255

***

No. 13
VASP calculation (PBE-GGA) on a geometry-optimized V2ZnIr structure.

total DFT energy (no corrections) = -6.829 eV/atom

Cell lengths 7.031, 7.031, 5.573 Å; angles 50.90, 50.90, 90.00 degrees
Fractional coordinates of all 8 atoms:
Zn 0.500 0.500 0.000
Zn 0.250 0.750 0.500
Ir 0.000 0.000 0.000
Ir 0.750 0.250 0.500
V 0.657 0.125 0.250
V 0.093 0.625 0.250
V 0.375 0.343 0.750
V 0.875 0.907 0.750

***

No. 14
VASP calculation (PBE-GGA) on a geometry-optimized RbYI3 structure.

formation energy (no corrections) = -1.31 eV per atom
polymorph energy (0 for the lowest one) = 0 meV/atom

Cell lengths 6.839, 8.654, 8.654 Å; angles 120.00, 89.99, 90.01 degrees
Fractional coordinates of all 10 atoms:
Rb 0.750 0.667 0.333
Rb 0.250 0.333 0.667
Y 0.000 0.000 0.000
Y 0.500 0.000 0.000
I 0.750 0.653 0.827
I 0.250 0.827 0.653
I 0.250 0.347 0.173
I 0.750 0.173 0.347
I 0.250 0.827 0.173
I 0.750 0.173 0.827

***

No. 15
VASP calculation (PBE-GGA) on a geometry-optimized TcTeP2 structure.

formation energy (no corrections) = -0.02 eV per atom

Cell lengths 2.982, 2.982, 8.731 Å; angles 90.00, 90.00, 90.00 degrees
Fractional coordinates of all 4 atoms:
P 0.000 0.000 0.092
P 0.000 0.000 0.408
Tc 0.500 0.500 0.250
Te 0.500 0.500 0.750

***

No. 16
VASP calculation (PBE-GGA) on a geometry-optimized InAs2IrSe structure.

formation energy (no corrections) = 0.36 eV per atom
polymorph energy (0 for the lowest one) = 0 meV/atom

Cell lengths 4.745, 4.745, 5.743 Å; angles 90.00, 90.00, 90.00 degrees
Fractional coordinates of all 5 atoms:
As 0.000 0.500 0.000
As 0.500 0.000 0.000
Ir 0.000 0.000 0.000
Se 0.000 0.000 0.500
In 0.500 0.500 0.500

***

No. 17
VASP calculation (PBE-GGA) on a geometry-optimized Tm4Mg2In structure.

polymorph energy (0 for the lowest one) = 29 meV/atom

Cell lengths 5.215, 5.215, 8.872 Å; angles 72.91, 72.91, 60.00 degrees
Fractional coordinates of all 7 atoms:
Tm 0.870 0.870 0.390
Tm 0.130 0.130 0.610
Tm 0.614 0.614 0.158
Tm 0.386 0.386 0.842
Mg 0.744 0.744 0.769
Mg 0.256 0.256 0.231
In 0.000 0.000 0.000

***

No. 18
VASP calculation (PBE-GGA) on a geometry-optimized Hf3MgNi structure.

polymorph energy (0 for the lowest one) = 0 meV/atom

Cell lengths 4.847, 4.847, 4.847 Å; angles 90.00, 90.00, 90.00 degrees
Fractional coordinates of all 5 atoms:
Ni 0.000 0.000 0.000
Mg 0.500 0.500 0.500
Hf 0.000 0.500 0.000
Hf 0.000 0.000 0.500
Hf 0.500 0.000 0.000

***

No. 19
VASP calculation (PBE-GGA) on a geometry-optimized Mn3P structure.

total DFT energy (no corrections) = -8.464 eV/atom

Cell lengths 3.566, 3.566, 3.566 Å; angles 90.00, 90.00, 90.00 degrees
Fractional coordinates of all 4 atoms:
Mn 0.000 0.500 0.500
Mn 0.500 0.000 0.500
Mn 0.500 0.500 0.000
P 0.000 0.000 0.000

***

No. 20
VASP calculation (PBE-GGA) on a geometry-optimized BaAc2F7 structure.

formation energy (no corrections) = -3.86 eV per atom

Cell lengths 4.382, 4.382, 12.370 Å; angles 79.80, 79.80, 60.00 degrees
Fractional coordinates of all 10 atoms:
Ba 0.500 0.500 0.500
Ac 0.066 0.066 0.801
Ac 0.934 0.934 0.199
F 0.718 0.718 0.847
F 0.584 0.584 0.249
F 0.000 0.000 0.000
F 0.282 0.282 0.153
F 0.135 0.135 0.596
F 0.865 0.865 0.404
F 0.416 0.416 0.751